Entry A
BaTa3Ga, optimized geometry, DFT GGA-PBE; calculated volume = 25.0 Å³ per atom; SG = Pm-3m (221); DOS at the Fermi energy = 9.353 states/eV/cell
1.0
4.9978 0.0000 0.0000
0.0000 4.9978 0.0000
0.0000 0.0000 4.9978
Ba Ta Ga
1 3 1
direct
0.0000 0.0000 0.0000
0.0000 0.5000 0.5000
0.5000 0.0000 0.5000
0.5000 0.5000 0.0000
0.5000 0.5000 0.5000

Entry B
BaTa3Ga, optimized geometry, DFT GGA-PBE; calculated volume = 26.5 Å³ per atom; SG = Pm-3m (221); DOS at the Fermi energy = 4.321 states/eV/cell
1.0
5.0986 0.0000 0.0000
0.0000 5.0986 0.0000
0.0000 0.0000 5.0986
Ba Ta Ga
1 3 1
direct
0.0000 0.0000 0.0000
0.0000 0.0000 0.5000
0.0000 0.5000 0.0000
0.5000 0.0000 0.0000
0.5000 0.5000 0.5000

Which structure wins on stability? entry A wins.

Entry A
BaGa3Tc, optimized geometry, DFT GGA-PBE; calculated volume = 23.2 Å³ per atom; SG = Cmcm (63); DOS at the Fermi energy = 5.670 states/eV/cell
1.0
3.4632 -6.5645 0.0000
3.4632 6.5645 0.0000
0.0000 0.0000 5.0993
Ba Ga Tc
2 6 2
direct
0.0833 0.9167 0.7500
0.9167 0.0833 0.2500
0.0660 0.5884 0.2500
0.4116 0.9340 0.2500
0.5000 0.5000 0.0000
0.5000 0.5000 0.5000
0.5884 0.0660 0.7500
0.9340 0.4116 0.7500
0.3384 0.6616 0.7500
0.6616 0.3384 0.2500

Entry B
BaGa3Tc, optimized geometry, DFT GGA-PBE; calculated volume = 22.6 Å³ per atom; SG = Pnma (62); DOS at the Fermi energy = 7.283 states/eV/cell
1.0
6.2243 0.0000 0.0000
0.0000 13.8046 0.0000
0.0000 0.0000 5.2614
Ba Ga Tc
4 12 4
direct
0.0000 0.0000 0.0000
0.0000 0.5000 0.0000
0.5000 0.0000 0.5000
0.5000 0.5000 0.5000
0.0109 0.1414 0.4827
0.0109 0.3586 0.4827
0.1430 0.7500 0.1277
0.3570 0.2500 0.6277
0.4891 0.6414 0.9827
0.4891 0.8586 0.9827
0.5109 0.1414 0.0173
0.5109 0.3586 0.0173
0.6430 0.7500 0.3723
0.8570 0.2500 0.8723
0.9891 0.6414 0.5173
0.9891 0.8586 0.5173
0.2026 0.2500 0.1524
0.2974 0.7500 0.6524
0.7026 0.2500 0.3476
0.7974 0.7500 0.8476

Which structure wins on stability? entry B wins.

Entry A
BaGa3Tc, optimized geometry, DFT GGA-PBE; calculated volume = 21.3 Å³ per atom; SG = P6_3/mmc (194); DOS at the Fermi energy = 5.285 states/eV/cell
1.0
4.8975 0.0000 0.0000
-2.4488 4.2414 0.0000
0.0000 0.0000 10.2618
Ba Ga Tc
2 6 2
direct
0.3333 0.6667 0.2500
0.6667 0.3333 0.7500
0.0000 0.0000 0.2500
0.0000 0.0000 0.7500
0.3333 0.6667 0.5601
0.3333 0.6667 0.9399
0.6667 0.3333 0.0601
0.6667 0.3333 0.4399
0.0000 0.0000 0.0000
0.0000 0.0000 0.5000

Entry B
BaGa3Tc, optimized geometry, DFT GGA-PBE; calculated volume = 23.5 Å³ per atom; SG = R-3 (148); DOS at the Fermi energy = 10.913 states/eV/cell
1.0
3.6704 2.1191 5.0377
-3.6704 2.1191 5.0377
0.0000 -4.2382 5.0377
Ba Ga Tc
2 6 2
direct
0.1646 0.1646 0.1646
0.8354 0.8354 0.8354
0.0177 0.3423 0.6740
0.3260 0.9823 0.6577
0.3423 0.6740 0.0177
0.6577 0.3260 0.9823
0.6740 0.0177 0.3423
0.9823 0.6577 0.3260
0.4258 0.4258 0.4258
0.5742 0.5742 0.5742

Which structure wins on stability? entry B wins.

Entry A
BaGa3Tc, optimized geometry, DFT GGA-PBE; calculated volume = 28.8 Å³ per atom; SG = Amm2 (38); DOS at the Fermi energy = 5.054 states/eV/cell
1.0
3.5783 0.0000 0.0000
0.0000 2.6869 7.4848
0.0000 -2.6869 7.4848
Ba Ga Tc
1 3 1
direct
0.0000 0.0000 0.0000
0.0000 0.4351 0.9740
0.0000 0.9740 0.4351
0.5000 0.8061 0.8061
0.5000 0.6326 0.6326

Entry B
BaGa3Tc, optimized geometry, DFT GGA-PBE; calculated volume = 25.6 Å³ per atom; SG = P2_1/c (14); DOS at the Fermi energy = 1.698 states/eV/cell
1.0
7.9721 0.0000 0.0000
0.0000 7.0922 0.0000
-4.0491 0.0000 9.0440
Ba Ga Tc
4 12 4
direct
0.2262 0.2107 0.0588
0.2262 0.2893 0.5588
0.7738 0.7107 0.4412
0.7738 0.7893 0.9412
0.0244 0.5569 0.2483
0.0244 0.9431 0.7483
0.2353 0.7355 0.1108
0.2353 0.7645 0.6108
0.4781 0.0846 0.3890
0.4781 0.4154 0.8890
0.5219 0.5846 0.1110
0.5219 0.9154 0.6110
0.7647 0.2355 0.3892
0.7647 0.2645 0.8892
0.9756 0.0569 0.2517
0.9756 0.4431 0.7517
0.2334 0.6638 0.8550
0.2334 0.8362 0.3550
0.7666 0.1638 0.6450
0.7666 0.3362 0.1450

Entry C
BaGa3Tc, optimized geometry, DFT GGA-PBE; calculated volume = 22.2 Å³ per atom; SG = Amm2 (38); DOS at the Fermi energy = 5.440 states/eV/cell
1.0
5.6850 0.0000 0.0000
0.0000 3.3600 5.8146
0.0000 -3.3600 5.8146
Ba Ga Tc
2 6 2
direct
0.0000 0.0000 0.0000
0.5000 0.3327 0.3327
0.0000 0.0357 0.4822
0.0000 0.4813 0.4813
0.0000 0.4822 0.0357
0.5000 0.2973 0.8501
0.5000 0.8501 0.2973
0.5000 0.8509 0.8509
0.2492 0.6663 0.6663
0.7508 0.6663 0.6663

Entry D
BaGa3Tc, optimized geometry, DFT GGA-PBE; calculated volume = 23.8 Å³ per atom; SG = P4/nmm (129); DOS at the Fermi energy = 1.493 states/eV/cell
1.0
6.9182 0.0000 0.0000
0.0000 6.9182 0.0000
0.0000 0.0000 4.9655
Ba Ga Tc
2 6 2
direct
0.2500 0.7500 0.0000
0.7500 0.2500 0.0000
0.0000 0.0000 0.5000
0.0000 0.5000 0.5000
0.2500 0.2500 0.0718
0.5000 0.0000 0.5000
0.5000 0.5000 0.5000
0.7500 0.7500 0.9282
0.2500 0.2500 0.5784
0.7500 0.7500 0.4216

Which structure wins on stability? entry D wins.

Entry A
BaGaTc, optimized geometry, DFT GGA-PBE; calculated volume = 31.2 Å³ per atom; SG = R3m (160); DOS at the Fermi energy = 2.568 states/eV/cell
1.0
2.1690 1.2523 11.4939
-2.1690 1.2523 11.4939
0.0000 -2.5045 11.4939
Ba Ga Tc
2 2 2
direct
0.0000 0.0000 0.0000
0.4568 0.4568 0.4568
0.2727 0.2727 0.2727
0.8591 0.8591 0.8591
0.2025 0.2025 0.2025
0.5572 0.5572 0.5572

Entry B
BaGaTc, optimized geometry, DFT GGA-PBE; calculated volume = 29.8 Å³ per atom; SG = C2/m (12); DOS at the Fermi energy = 2.795 states/eV/cell
1.0
3.7281 -2.1498 0.0000
3.7281 2.1498 0.0000
-0.1153 0.0000 11.1617
Ba Ga Tc
2 2 2
direct
0.1710 0.1710 0.3043
0.8290 0.8290 0.6957
0.4986 0.4986 0.8828
0.5014 0.5014 0.1172
0.1670 0.1670 0.9775
0.8330 0.8330 0.0225

Which structure wins on stability? entry B wins.